## one
MgInGaNi: relaxed, PBE.

V, Å³/atom: 17.07

Geometry as POSCAR:
```
MgInGaNi
1.0
-0.073 -4.444 -1.137
-3.291 -2.737 1.651
-3.269 -1.600 -2.793
In Mg Ni Ga
1 1 1 1
Direct
0.000 0.000 0.000
0.750 0.750 0.750
0.250 0.250 0.250
0.500 0.500 0.500
```

***

## two
MgInGaNi: relaxed, PBE.

V, Å³/atom: 17.50

Geometry as POSCAR:
```
MgInGaNi
1.0
0.000 3.271 3.271
3.271 0.000 3.271
3.271 3.271 0.000
Mg Ni In Ga
1 1 1 1
Direct
0.750 0.750 0.750
0.500 0.500 0.500
0.250 0.250 0.250
0.000 0.000 0.000
```

***

Name the most stable of them. one.